The following is a PBE calculation of a geometry-optimized CoReSi2 structure, from Alexandria.

CIF file:
```
data_CoReSi2
_chemical_formula_sum 'Co2 Re2 Si4'
_cell_length_a 3.040
_cell_length_b 3.799
_cell_length_c 8.642
_cell_angle_alpha 90.00
_cell_angle_beta 90.00
_cell_angle_gamma 90.00
_space_group_name_H-M_alt 'I m m 2'
_space_group_IT_number 44
loop_
_space_group_symop_operation_xyz
'x,y,z'
'-x,-y,z'
'-x,y,z'
'x,-y,z'
'x+1/2,y+1/2,z+1/2'
'-x+1/2,-y+1/2,z+1/2'
'-x+1/2,y+1/2,z+1/2'
'x+1/2,-y+1/2,z+1/2'
loop_
_atom_site_label
_atom_site_fract_x
_atom_site_fract_y
_atom_site_fract_z
Co1 0.000 0.000 0.000
Re1 0.000 0.500 0.243
Si1 0.000 0.000 0.475
Si2 0.000 0.500 0.698
```

Properties
E_form (uncorrected) in eV/f.u.: -0.8
Relative energy among the computed polymorphs in eV/f.u.: 0.36
VASP energy in eV/cell: -62.4
N(E_F) in states/eV/f.u.: 2.2